Here is a geometry-optimized Ta3Os structure from Alexandria via LeMat-Bulk. Energies are from PBE.

The structure in extended XYZ format:
```
4
Lattice="2.9064 0.0000 0.0000 0.9688 5.2008 0.0000 0.9688 -2.6004 4.5040" Properties=species:S:1:pos:R:3 pbc="T T T"
Ta 1.9376 -1.3002 2.2520
Ta 0.9688 1.3002 2.2520
Ta 1.9376 2.6004 0.0000
Os 0.0000 0.0000 0.0000
```

Space group: No. 166
Density of states at the Fermi level in states/eV/atom: 0.593
Total DFT energy (no corrections) in eV/f.u.: -47.62